Entry from Alexandria: a geometry-optimized Tb8YHo2 structure (PBE).

abc: 9.2993 9.2993 9.2993
angles: 145.40 127.73 64.21
Atoms (fractional coordinates):
Tb (0.1571, 0.3620, 0.7951)
Tb (0.1616, 0.1616, 0.0000)
Tb (0.2957, 0.0000, 0.2957)
Tb (0.4331, 0.6380, 0.7951)
Tb (0.5669, 0.3620, 0.2049)
Tb (0.7043, 0.0000, 0.7043)
Tb (0.8384, 0.8384, 0.0000)
Tb (0.8429, 0.6380, 0.2049)
Y (0.0000, 0.5000, 0.5000)
Ho (0.2984, 0.7984, 0.5000)
Ho (0.7016, 0.2016, 0.5000)

Calculated values
* spin magnetization: 0.00 μB per formula unit
* crystal system: orthorhombic
* formation energy from the elements: 117 meV/atom

---

Entry from Alexandria: a geometry-optimized CaCuRu2 structure (PBE).

abc: 5.6189 5.6189 5.6189
angles: 150.23 132.30 57.25
Atoms (fractional coordinates):
Ca (0.0000, 0.0000, 0.0000)
Cu (0.5000, 0.5000, 0.0000)
Ru (0.2817, 0.7817, 0.5000)
Ru (0.7183, 0.2183, 0.5000)

Calculated values
* spin magnetization: 0.00 μB per formula unit
* crystal system: orthorhombic
* formation energy from the elements: 353 meV/atom

---

Entry from Alexandria: a geometry-optimized Pm2Ge5Ir3 structure (PBE).

abc: 8.4583 8.4583 8.4583
angles: 104.87 90.10 137.88
Atoms (fractional coordinates):
Pm (0.1331, 0.2279, 0.3610)
Pm (0.3669, 0.7279, 0.0949)
Pm (0.6331, 0.2721, 0.9051)
Pm (0.8669, 0.7721, 0.6390)
Ge (0.0257, 0.7500, 0.2757)
Ge (0.0998, 0.6608, 0.7606)
Ge (0.2500, 0.2500, 0.0000)
Ge (0.4002, 0.1608, 0.5610)
Ge (0.4743, 0.7500, 0.7243)
Ge (0.5257, 0.2500, 0.2757)
Ge (0.5998, 0.8392, 0.4390)
Ge (0.7500, 0.7500, 0.0000)
Ge (0.9002, 0.3392, 0.2394)
Ge (0.9743, 0.2500, 0.7243)
Ir (0.1413, 0.8897, 0.0310)
Ir (0.2500, 0.7500, 0.5000)
Ir (0.3587, 0.3897, 0.7484)
Ir (0.6413, 0.6103, 0.2516)
Ir (0.7500, 0.2500, 0.5000)
Ir (0.8587, 0.1103, 0.9690)

Calculated values
* spin magnetization: 0.00 μB per formula unit
* crystal system: orthorhombic
* formation energy from the elements: -744 meV/atom

---

Entry from Alexandria: a geometry-optimized TlNiAu3 structure (PBE).

abc: 4.8884 4.8884 4.8884
angles: 90.00 90.00 90.00
Atoms (fractional coordinates):
Tl (0.0000, 0.0000, 0.0000)
Ni (0.5000, 0.5000, 0.5000)
Au (0.0000, 0.5000, 0.5000)
Au (0.5000, 0.0000, 0.5000)
Au (0.5000, 0.5000, 0.0000)

Calculated values
* spin magnetization: 0.00 μB per formula unit
* crystal system: cubic
* formation energy from the elements: 403 meV/atom